Version w
Entry from Alexandria: a relaxed structure of Pr6NdTh (PBE).

Structure (POSCAR):
```
Pr6NdTh
1.0
3.452 -6.088 0.000
3.452 6.088 0.000
-0.114 0.000 6.711
Pr Nd Th
6 1 1
direct
0.039 0.039 0.243
0.077 0.585 0.247
0.415 0.923 0.753
0.585 0.077 0.247
0.923 0.415 0.753
0.961 0.961 0.757
0.500 0.500 0.500
0.500 0.500 0.000
```


Version x
Entry from Alexandria: a relaxed structure of Pr6NdTh (PBE).

Structure (POSCAR):
```
Pr6NdTh
1.0
5.215 0.000 0.000
0.000 5.215 0.000
0.000 0.000 10.442
Pr Nd Th
6 1 1
direct
0.000 0.000 0.000
0.000 0.000 0.500
0.000 0.500 0.245
0.000 0.500 0.755
0.500 0.000 0.245
0.500 0.000 0.755
0.500 0.500 0.500
0.500 0.500 0.000
```


Which structure loses on stability? version w does.


Version w
Entry from Alexandria: a relaxed structure of Pr2Nd4Th (PBE).

Structure (POSCAR):
```
Pr2Nd4Th
1.0
1.837 1.061 21.005
-1.837 1.061 21.005
0.000 -2.122 21.005
Pr Nd Th
2 4 1
direct
0.072 0.072 0.072
0.928 0.928 0.928
0.212 0.212 0.212
0.357 0.357 0.357
0.643 0.643 0.643
0.788 0.788 0.788
0.500 0.500 0.500
```


Version x
Entry from Alexandria: a relaxed structure of Pr2Nd4Th (PBE).

Structure (POSCAR):
```
Pr2Nd4Th
1.0
-3.409 5.931 6.213
3.409 -5.931 6.213
3.409 5.931 -6.213
Pr Nd Th
4 8 2
direct
0.000 0.000 0.000
0.474 0.224 0.250
0.500 0.000 0.500
0.526 0.776 0.750
0.141 0.647 0.494
0.260 0.284 0.525
0.260 0.735 0.975
0.346 0.353 0.994
0.654 0.647 0.006
0.740 0.265 0.025
0.740 0.716 0.475
0.859 0.353 0.506
0.000 0.000 0.500
0.000 0.500 0.000
```


Which structure loses on stability? version x does.


Version w
Entry from Alexandria: a relaxed structure of Pr4Nd3Th2 (PBE).

Structure (POSCAR):
```
Pr4Nd3Th2
1.0
6.433 0.000 0.000
1.483 10.007 0.000
1.487 0.882 9.982
Pr Nd Th
8 6 4
direct
0.012 0.206 0.126
0.124 0.634 0.494
0.376 0.006 0.866
0.485 0.371 0.295
0.515 0.629 0.705
0.624 0.994 0.134
0.876 0.366 0.506
0.988 0.794 0.874
0.005 0.545 0.164
0.250 0.969 0.531
0.495 0.337 0.954
0.505 0.663 0.046
0.750 0.031 0.469
0.995 0.455 0.836
0.132 0.864 0.223
0.368 0.277 0.636
0.632 0.723 0.364
0.868 0.136 0.777
```


Version x
Entry from Alexandria: a relaxed structure of Pr4Nd3Th2 (PBE).

Structure (POSCAR):
```
Pr4Nd3Th2
1.0
3.633 0.000 0.000
-1.817 3.146 0.000
0.000 0.000 27.731
Pr Nd Th
4 3 2
direct
0.000 0.000 0.000
0.000 0.000 0.220
0.333 0.667 0.332
0.333 0.667 0.554
0.000 0.000 0.442
0.333 0.667 0.108
0.333 0.667 0.770
0.000 0.000 0.661
0.000 0.000 0.877
```


Which structure loses on stability? version w does.


Version w
Entry from Alexandria: a relaxed structure of PrNd4Th (PBE).

Structure (POSCAR):
```
PrNd4Th
1.0
6.088 -1.831 0.000
6.088 1.831 0.000
-4.439 0.000 9.405
Pr Nd Th
1 4 1
direct
0.000 0.000 0.000
0.335 0.335 0.661
0.336 0.336 0.175
0.664 0.664 0.825
0.665 0.665 0.339
0.000 0.000 0.500
```


Version x
Entry from Alexandria: a relaxed structure of PrNd4Th (PBE).

Structure (POSCAR):
```
PrNd4Th
1.0
3.312 -5.769 0.000
3.312 5.769 0.000
0.000 0.000 10.976
Pr Nd Th
2 8 2
direct
0.173 0.827 0.750
0.827 0.173 0.250
0.173 0.341 0.750
0.334 0.666 0.064
0.334 0.666 0.436
0.341 0.173 0.250
0.659 0.827 0.750
0.666 0.334 0.564
0.666 0.334 0.936
0.827 0.659 0.250
0.000 0.000 0.000
0.000 0.000 0.500
```


Which structure loses on stability? version x does.


Version w
Entry from Alexandria: a relaxed structure of Pr4Nd2Th (PBE).

Structure (POSCAR):
```
Pr4Nd2Th
1.0
-3.425 5.939 6.219
3.425 -5.939 6.219
3.425 5.939 -6.219
Pr Nd Th
8 4 2
direct
0.154 0.149 0.005
0.240 0.215 0.476
0.240 0.764 0.024
0.356 0.851 0.505
0.644 0.149 0.495
0.760 0.236 0.976
0.760 0.785 0.524
0.846 0.851 0.995
0.000 0.500 0.500
0.027 0.277 0.750
0.500 0.500 0.000
0.973 0.723 0.250
0.500 0.000 0.000
0.500 0.500 0.500
```


Version x
Entry from Alexandria: a relaxed structure of Pr4Nd2Th (PBE).

Structure (POSCAR):
```
Pr4Nd2Th
1.0
3.044 -11.774 0.000
3.044 11.774 0.000
0.000 0.000 3.510
Pr Nd Th
4 2 1
direct
0.076 0.924 0.000
0.367 0.633 0.500
0.633 0.367 0.500
0.924 0.076 0.000
0.215 0.785 0.500
0.785 0.215 0.500
0.500 0.500 0.000
```


Which structure loses on stability? version w does.


Version w
Entry from Alexandria: a relaxed structure of Pr4NdTl2 (PBE).

Structure (POSCAR):
```
Pr4NdTl2
1.0
2.662 1.537 10.638
-2.662 1.537 10.638
0.000 -3.073 10.638
Pr Nd Tl
4 1 2
direct
0.112 0.112 0.112
0.295 0.295 0.295
0.705 0.705 0.705
0.888 0.888 0.888
0.500 0.500 0.500
0.400 0.400 0.400
0.600 0.600 0.600
```


Version x
Entry from Alexandria: a relaxed structure of Pr4NdTl2 (PBE).

Structure (POSCAR):
```
Pr4NdTl2
1.0
4.464 -5.297 0.000
4.464 5.297 0.000
0.000 0.000 5.021
Pr Nd Tl
4 1 2
direct
0.000 0.500 0.500
0.207 0.207 0.000
0.500 0.000 0.500
0.793 0.793 0.000
0.500 0.500 0.500
0.281 0.719 0.000
0.719 0.281 0.000
```


Which structure loses on stability? version w does.


Version w
Entry from Alexandria: a relaxed structure of PrNd4Tl (PBE).

Structure (POSCAR):
```
PrNd4Tl
1.0
3.714 0.000 0.000
0.000 3.714 0.000
0.000 0.000 14.713
Pr Nd Tl
1 4 1
direct
0.000 0.000 0.000
0.000 0.000 0.354
0.000 0.000 0.646
0.500 0.500 0.178
0.500 0.500 0.822
0.500 0.500 0.500
```


Version x
Entry from Alexandria: a relaxed structure of PrNd4Tl (PBE).

Structure (POSCAR):
```
PrNd4Tl
1.0
6.684 0.000 0.000
0.000 6.871 0.000
-1.693 0.000 8.840
Pr Nd Tl
2 8 2
direct
0.193 0.250 0.496
0.807 0.750 0.504
0.082 0.002 0.827
0.082 0.498 0.827
0.325 0.750 0.564
0.420 0.750 0.168
0.580 0.250 0.832
0.675 0.250 0.436
0.918 0.502 0.173
0.918 0.998 0.173
0.350 0.250 0.129
0.650 0.750 0.871
```


Which structure loses on stability? version x does.


Version w
Entry from Alexandria: a relaxed structure of PrNd3Tl4 (PBE).

Structure (POSCAR):
```
PrNd3Tl4
1.0
3.915 0.000 0.000
0.000 3.915 0.000
0.000 0.000 15.652
Pr Nd Tl
1 3 4
direct
0.000 0.000 0.000
0.000 0.000 0.251
0.000 0.000 0.500
0.000 0.000 0.749
0.500 0.500 0.127
0.500 0.500 0.376
0.500 0.500 0.624
0.500 0.500 0.873
```


Version x
Entry from Alexandria: a relaxed structure of PrNd3Tl4 (PBE).

Structure (POSCAR):
```
PrNd3Tl4
1.0
-1.858 3.713 9.391
1.858 -3.713 9.391
1.858 3.713 -9.391
Pr Nd Tl
1 3 4
direct
0.000 0.000 0.000
0.215 0.715 0.500
0.500 0.500 0.000
0.785 0.285 0.500
0.163 0.872 0.291
0.419 0.128 0.291
0.581 0.872 0.709
0.837 0.128 0.709
```


Which structure loses on stability? version x does.


Version w
Entry from Alexandria: a relaxed structure of PrNd2Tl4 (PBE).

Structure (POSCAR):
```
PrNd2Tl4
1.0
7.162 0.000 0.000
0.004 7.805 0.000
0.034 3.899 7.874
Pr Nd Tl
2 4 8
direct
0.000 0.000 0.000
0.115 0.516 0.968
0.130 0.761 0.478
0.498 0.288 0.425
0.613 0.769 0.462
0.632 0.523 0.952
0.339 0.335 0.745
0.340 0.919 0.744
0.382 0.126 0.159
0.383 0.716 0.158
0.833 0.950 0.683
0.835 0.366 0.682
0.878 0.571 0.271
0.879 0.158 0.272
```


Version x
Entry from Alexandria: a relaxed structure of PrNd2Tl4 (PBE).

Structure (POSCAR):
```
PrNd2Tl4
1.0
-3.887 3.887 3.824
3.887 -3.887 3.824
3.887 3.887 -3.824
Pr Nd Tl
1 2 4
direct
0.000 0.000 0.000
0.000 0.500 0.500
0.500 0.000 0.500
0.000 0.000 0.500
0.000 0.500 0.000
0.500 0.000 0.000
0.500 0.500 0.500
```


Which structure loses on stability? version x does.


Version w
Entry from Alexandria: a relaxed structure of Pr2Nd2Tl3 (PBE).

Structure (POSCAR):
```
Pr2Nd2Tl3
1.0
1.821 -16.583 0.000
1.821 16.583 0.000
0.000 0.000 3.625
Pr Nd Tl
2 2 3
direct
0.201 0.799 0.000
0.799 0.201 0.000
0.067 0.933 0.000
0.933 0.067 0.000
0.365 0.635 0.500
0.500 0.500 0.500
0.635 0.365 0.500
```


Version x
Entry from Alexandria: a relaxed structure of Pr2Nd2Tl3 (PBE).

Structure (POSCAR):
```
Pr2Nd2Tl3
1.0
4.617 0.000 0.000
2.300 5.933 0.000
0.006 0.779 7.825
Pr Nd Tl
2 2 3
direct
0.072 0.356 0.209
0.928 0.644 0.791
0.199 0.103 0.655
0.801 0.897 0.345
0.354 0.792 0.063
0.500 0.500 0.500
0.646 0.208 0.937
```


Which structure loses on stability? version w does.


Version w
Entry from Alexandria: a relaxed structure of PrNdTl2 (PBE).

Structure (POSCAR):
```
PrNdTl2
1.0
0.000 3.920 3.920
3.920 0.000 3.920
3.920 3.920 0.000
Pr Nd Tl
1 1 2
direct
0.000 0.000 0.000
0.500 0.500 0.500
0.250 0.250 0.250
0.750 0.750 0.750
```


Version x
Entry from Alexandria: a relaxed structure of PrNdTl2 (PBE).

Structure (POSCAR):
```
PrNdTl2
1.0
3.923 0.000 0.000
0.000 3.923 0.000
0.000 0.000 7.828
Pr Nd Tl
1 1 2
direct
0.000 0.000 0.000
0.000 0.000 0.500
0.500 0.500 0.253
0.500 0.500 0.747
```


Which structure loses on stability? version w does.